Entry 1:
A plane-wave DFT calculation with PBE was carried out for an optimized crystal structure of BaIrPb2O8.

For the density of states at the Fermi level, the calculation gives 3.418 states/eV/cell. For the size of the total moment, the calculation gives 0.80 μB/f.u. For the formation energy from raw total energies, the calculation gives -1007 meV per atom. As for the calculated total energy: -5.829 eV/atom.

```
data_BaIrPb2O8
_cell_length_a 4.811
_cell_length_b 5.462
_cell_length_c 7.352
_cell_angle_alpha 76.51
_cell_angle_beta 83.01
_cell_angle_gamma 83.85
_symmetry_space_group_name_H-M 'P 1'
_symmetry_Int_Tables_number 1
loop_
_symmetry_equiv_pos_as_xyz
'x,y,z'
loop_
_atom_site_label
_atom_site_fract_x
_atom_site_fract_y
_atom_site_fract_z
O1 0.690 0.811 0.991
Pb1 0.551 0.570 0.258
O2 0.547 0.738 0.508
Pb2 0.449 0.430 0.742
Ir1 0.000 0.000 0.000
O3 0.214 0.823 0.835
O4 0.786 0.177 0.165
O5 0.097 0.724 0.222
O6 0.310 0.189 0.009
O7 0.903 0.276 0.778
O8 0.453 0.262 0.492
Ba1 0.000 0.000 0.500
```

Entry 2:
A plane-wave DFT calculation with PBE was carried out for an optimized crystal structure of GaTcMoBr2.

For the density of states at the Fermi level, the calculation gives 5.833 states/eV/cell. For the size of the total moment, the calculation gives 6.12 μB/f.u. For the formation energy from raw total energies, the calculation gives 1199 meV per atom. As for the calculated total energy: -4.315 eV/atom.

```
data_GaTcMoBr2
_cell_length_a 5.023
_cell_length_b 5.259
_cell_length_c 5.023
_cell_angle_alpha 90.00
_cell_angle_beta 90.00
_cell_angle_gamma 90.00
_symmetry_space_group_name_H-M 'P 1'
_symmetry_Int_Tables_number 1
loop_
_symmetry_equiv_pos_as_xyz
'x,y,z'
loop_
_atom_site_label
_atom_site_fract_x
_atom_site_fract_y
_atom_site_fract_z
Br1 0.000 0.000 0.500
Ga1 0.000 0.500 0.000
Mo1 0.000 0.000 0.000
Tc1 0.500 0.500 0.500
Br2 0.500 0.000 0.000
```

Entry 3:
A plane-wave DFT calculation with PBE was carried out for an optimized crystal structure of NbMo3.

For the density of states at the Fermi level, the calculation gives 2.000 states/eV/cell. For the size of the total moment, the calculation gives 0.00 μB/f.u. As for the calculated total energy: -10.737 eV/atom. As for the formation energy: -96 meV/atom.

```
data_NbMo3
_cell_length_a 3.197
_cell_length_b 4.524
_cell_length_c 4.524
_cell_angle_alpha 90.00
_cell_angle_beta 90.00
_cell_angle_gamma 90.00
_symmetry_space_group_name_H-M 'P 1'
_symmetry_Int_Tables_number 1
loop_
_symmetry_equiv_pos_as_xyz
'x,y,z'
loop_
_atom_site_label
_atom_site_fract_x
_atom_site_fract_y
_atom_site_fract_z
Nb1 0.000 0.500 0.417
Mo1 0.500 0.000 0.417
Mo2 0.000 0.000 0.917
Mo3 0.500 0.500 0.917
```

Entry 4:
A plane-wave DFT calculation with PBE was carried out for an optimized crystal structure of Na5Pr.

For the density of states at the Fermi level, the calculation gives 3.182 states/eV/cell. For the size of the total moment, the calculation gives 0.00 μB/f.u. As for the calculated total energy: -1.749 eV/atom. As for the formation energy: 147 meV/atom.

```
data_Na5Pr
_cell_length_a 3.653
_cell_length_b 6.299
_cell_length_c 9.915
_cell_angle_alpha 108.52
_cell_angle_beta 90.00
_cell_angle_gamma 90.00
_symmetry_space_group_name_H-M 'P 1'
_symmetry_Int_Tables_number 1
loop_
_symmetry_equiv_pos_as_xyz
'x,y,z'
loop_
_atom_site_label
_atom_site_fract_x
_atom_site_fract_y
_atom_site_fract_z
Na1 0.500 0.500 0.000
Na2 0.500 0.175 0.350
Na3 0.000 0.651 0.303
Na4 0.000 0.349 0.697
Na5 0.500 0.825 0.650
Pr1 0.000 0.000 0.000
```

Entry 5:
A plane-wave DFT calculation with PBE was carried out for an optimized crystal structure of AlZn2AgAu4.

For the density of states at the Fermi level, the calculation gives 1.927 states/eV/cell. For the size of the total moment, the calculation gives 0.00 μB/f.u. As for the calculated total energy: -2.998 eV/atom. As for the formation energy: -217 meV/atom.

```
data_AlZn2AgAu4
_cell_length_a 4.541
_cell_length_b 4.541
_cell_length_c 7.983
_cell_angle_alpha 73.48
_cell_angle_beta 73.48
_cell_angle_gamma 60.00
_symmetry_space_group_name_H-M 'P 1'
_symmetry_Int_Tables_number 1
loop_
_symmetry_equiv_pos_as_xyz
'x,y,z'
loop_
_atom_site_label
_atom_site_fract_x
_atom_site_fract_y
_atom_site_fract_z
Au1 0.868 0.868 0.397
Al1 0.500 0.500 0.500
Au2 0.615 0.615 0.155
Zn1 0.741 0.741 0.776
Au3 0.132 0.132 0.603
Au4 0.385 0.385 0.845
Zn2 0.259 0.259 0.224
Ag1 0.000 0.000 0.000
```

Entry 6:
A plane-wave DFT calculation with PBE was carried out for an optimized crystal structure of Sr3HgRh.

For the density of states at the Fermi level, the calculation gives 7.256 states/eV/cell. For the size of the total moment, the calculation gives 0.00 μB/f.u. As for the calculated total energy: -2.791 eV/atom. As for the formation energy: -251 meV/atom. For the energy above the most stable polymorph in this dataset, the calculation gives 74 meV per atom.

```
data_Sr3HgRh
_cell_length_a 5.508
_cell_length_b 8.450
_cell_length_c 7.651
_cell_angle_alpha 98.75
_cell_angle_beta 90.01
_cell_angle_gamma 90.00
_symmetry_space_group_name_H-M 'P 1'
_symmetry_Int_Tables_number 1
loop_
_symmetry_equiv_pos_as_xyz
'x,y,z'
loop_
_atom_site_label
_atom_site_fract_x
_atom_site_fract_y
_atom_site_fract_z
Sr1 0.043 0.193 0.433
Hg1 0.043 0.129 0.972
Sr2 0.543 0.949 0.667
Sr3 0.543 0.516 0.437
Rh1 0.043 0.435 0.197
Sr4 0.543 0.364 0.977
Sr5 0.543 0.894 0.146
Sr6 0.043 0.646 0.875
Rh2 0.543 0.662 0.809
Hg2 0.043 0.756 0.364
```

Entry 7:
A plane-wave DFT calculation with PBE was carried out for an optimized crystal structure of Sc2BH.

For the density of states at the Fermi level, the calculation gives 1.027 states/eV/cell. For the size of the total moment, the calculation gives 0.00 μB/f.u. As for the calculated total energy: -5.838 eV/atom. For the energy above the most stable polymorph in this dataset, the calculation gives 0 meV per atom.

```
data_Sc2BH
_cell_length_a 4.161
_cell_length_b 4.161
_cell_length_c 4.161
_cell_angle_alpha 60.00
_cell_angle_beta 60.00
_cell_angle_gamma 60.00
_symmetry_space_group_name_H-M 'P 1'
_symmetry_Int_Tables_number 1
loop_
_symmetry_equiv_pos_as_xyz
'x,y,z'
loop_
_atom_site_label
_atom_site_fract_x
_atom_site_fract_y
_atom_site_fract_z
H1 0.000 0.000 0.000
Sc1 0.750 0.750 0.750
B1 0.500 0.500 0.500
Sc2 0.250 0.250 0.250
```

Entry 8:
A plane-wave DFT calculation with PBE was carried out for an optimized crystal structure of KSbBr2.

For the density of states at the Fermi level, the calculation gives 2.041 states/eV/cell. For the size of the total moment, the calculation gives 0.00 μB/f.u. For the formation energy from raw total energies, the calculation gives -564 meV per atom. As for the calculated total energy: -2.706 eV/atom. For the energy above the most stable polymorph in this dataset, the calculation gives 211 meV per atom.

```
data_KSbBr2
_cell_length_a 9.873
_cell_length_b 9.873
_cell_length_c 9.873
_cell_angle_alpha 22.45
_cell_angle_beta 22.45
_cell_angle_gamma 22.45
_symmetry_space_group_name_H-M 'P 1'
_symmetry_Int_Tables_number 1
loop_
_symmetry_equiv_pos_as_xyz
'x,y,z'
loop_
_atom_site_label
_atom_site_fract_x
_atom_site_fract_y
_atom_site_fract_z
Sb1 0.750 0.750 0.750
K1 0.250 0.250 0.250
Br1 0.504 0.504 0.504
Br2 0.996 0.996 0.996
```

Entry 9:
A plane-wave DFT calculation with PBE was carried out for an optimized crystal structure of PrFeC.

For the density of states at the Fermi level, the calculation gives 6.176 states/eV/cell. For the size of the total moment, the calculation gives 0.00 μB/f.u. As for the calculated total energy: -7.639 eV/atom. As for the formation energy: -150 meV/atom. For the energy above the most stable polymorph in this dataset, the calculation gives 0 meV per atom.

```
data_PrFeC
_cell_length_a 3.462
_cell_length_b 3.462
_cell_length_c 8.345
_cell_angle_alpha 90.00
_cell_angle_beta 90.00
_cell_angle_gamma 90.00
_symmetry_space_group_name_H-M 'P 1'
_symmetry_Int_Tables_number 1
loop_
_symmetry_equiv_pos_as_xyz
'x,y,z'
loop_
_atom_site_label
_atom_site_fract_x
_atom_site_fract_y
_atom_site_fract_z
Pr1 0.500 0.000 0.208
C1 0.000 0.500 0.389
C2 0.500 0.000 0.611
Pr2 0.000 0.500 0.792
Fe1 0.500 0.500 0.500
Fe2 0.000 0.000 0.500
```